Record 1
The following is a DFT calculation (PBE) of Er2MgTl after structural relaxation.

Cell: 3.5888 3.5888 30.6176 Å, 90.00 90.00 120.00°
Last column: nearest neighbours and their distance in Å.
Fractional coordinates of all 12 atoms:
Er: 0.0000 0.0000 0.2477  3 Tl 3.23, 3 Mg 3.34, 6 Er 3.59
Er: 0.0000 0.0000 0.7523  3 Tl 3.23, 3 Mg 3.34, 6 Er 3.59
Er: 0.3333 0.6667 0.4190  3 Tl 3.23, 3 Mg 3.34, 6 Er 3.59
Er: 0.3333 0.6667 0.9144  3 Tl 3.23, 3 Mg 3.34, 6 Er 3.59
Er: 0.6667 0.3333 0.0856  3 Tl 3.23, 3 Mg 3.34, 6 Er 3.59
Er: 0.6667 0.3333 0.5810  3 Tl 3.23, 3 Mg 3.34, 6 Er 3.59
Mg: 0.0000 0.0000 0.0000  6 Er 3.34, 6 Mg 3.59
Mg: 0.3333 0.6667 0.6667  6 Er 3.34, 6 Mg 3.59
Mg: 0.6667 0.3333 0.3333  6 Er 3.34, 6 Mg 3.59
Tl: 0.0000 0.0000 0.5000  6 Er 3.23, 6 Tl 3.59
Tl: 0.3333 0.6667 0.1667  6 Er 3.23, 6 Tl 3.59
Tl: 0.6667 0.3333 0.8333  6 Er 3.23, 6 Tl 3.59

Values from the calculation:
energy relative to the elements: -0.09 eV/atom
energy above the most stable polymorph in this dataset: 125 meV/atom
total magnetic moment: 0.00 μB per cell
space-group type: R-3m, No. 166



Record 2
The following is a DFT calculation (PBE) of Er4Mg3Tl after structural relaxation.

Cell: 3.7709 3.7709 14.9716 Å, 90.00 90.00 90.00°
Last column: nearest neighbours and their distance in Å.
Fractional coordinates of all 8 atoms:
Er: 0.0000 0.0000 0.1265  8 Mg 3.22-3.27
Er: 0.0000 0.0000 0.3726  4 Mg 3.26, 4 Tl 3.28
Er: 0.0000 0.0000 0.6274  4 Mg 3.26, 4 Tl 3.28
Er: 0.0000 0.0000 0.8735  8 Mg 3.22-3.27
Mg: 0.5000 0.5000 0.0000  8 Er 3.27
Mg: 0.5000 0.5000 0.2474  8 Er 3.22-3.26
Mg: 0.5000 0.5000 0.7526  8 Er 3.22-3.26
Tl: 0.5000 0.5000 0.5000  8 Er 3.28

Values from the calculation:
energy relative to the elements: -0.14 eV/atom
energy above the most stable polymorph in this dataset: 0 meV/atom
total magnetic moment: 0.00 μB per cell
space-group type: P4/mmm, No. 123



Record 3
The following is a DFT calculation (PBE) of Er4MgTl after structural relaxation.

Cell: 6.2498 9.4917 6.2504 Å, 90.00 111.94 90.00°
Last column: nearest neighbours and their distance in Å.
Fractional coordinates of all 12 atoms:
Er: 0.0918 0.1666 0.1020  2 Tl 3.18-3.24, 1 Mg 3.26, 6 Er 3.44-3.53
Er: 0.0918 0.3334 0.6020  2 Tl 3.18-3.24, 1 Mg 3.26, 6 Er 3.44-3.53
Er: 0.4026 0.6623 0.9120  1 Tl 3.17, 2 Mg 3.25-3.27, 6 Er 3.34-3.54
Er: 0.4026 0.8377 0.4120  1 Tl 3.17, 2 Mg 3.25-3.27, 6 Er 3.34-3.54
Er: 0.5974 0.1623 0.5880  1 Tl 3.17, 2 Mg 3.25-3.27, 6 Er 3.34-3.54
Er: 0.5974 0.3377 0.0880  1 Tl 3.17, 2 Mg 3.25-3.27, 6 Er 3.34-3.54
Er: 0.9082 0.6666 0.3980  2 Tl 3.18-3.24, 1 Mg 3.26, 6 Er 3.44-3.53
Er: 0.9082 0.8334 0.8980  2 Tl 3.18-3.24, 1 Mg 3.26, 6 Er 3.44-3.53
Mg: 0.5000 0.0000 0.0000  6 Er 3.25-3.27, 2 Tl 3.50
Mg: 0.5000 0.5000 0.5000  6 Er 3.25-3.27, 2 Tl 3.50
Tl: 0.0000 0.0000 0.5000  6 Er 3.17-3.24, 2 Mg 3.50
Tl: 0.0000 0.5000 0.0000  6 Er 3.17-3.24, 2 Mg 3.50

Values from the calculation:
energy relative to the elements: -0.02 eV/atom
total magnetic moment: 0.00 μB per cell
space-group type: P2_1/c, No. 14



Record 4
The following is a DFT calculation (PBE) of Er5Mg4Tl after structural relaxation.

Cell: 3.7752 3.7752 18.6631 Å, 90.00 90.00 90.00°
Last column: nearest neighbours and their distance in Å.
Fractional coordinates of all 10 atoms:
Er: 0.0000 0.0000 0.0000  8 Mg 3.26
Er: 0.0000 0.0000 0.2004  8 Mg 3.23-3.26
Er: 0.0000 0.0000 0.3982  4 Mg 3.26, 4 Tl 3.28
Er: 0.0000 0.0000 0.6018  4 Mg 3.26, 4 Tl 3.28
Er: 0.0000 0.0000 0.7996  8 Mg 3.23-3.26
Mg: 0.5000 0.5000 0.1003  8 Er 3.26
Mg: 0.5000 0.5000 0.2979  8 Er 3.23-3.26
Mg: 0.5000 0.5000 0.7021  8 Er 3.23-3.26
Mg: 0.5000 0.5000 0.8997  8 Er 3.26
Tl: 0.5000 0.5000 0.5000  8 Er 3.28

Values from the calculation:
energy relative to the elements: -0.13 eV/atom
total magnetic moment: 0.00 μB per cell
space-group type: P4/mmm, No. 123



What density values result from the calculations? In sequence: 8.2, 7.4, 8.7, 7.1 Mg/m³.